{
  "formula": "MnS",
  "functional": "GGA-PBE",
  "state": "relaxed",
  "cell": [[9.563, 0.000, 0.000], [0.000, 9.563, 0.000], [0.000, 0.000, 3.359]],
  "species": ["Mn", "Mn", "S", "Mn", "S", "Mn", "S", "S", "Mn", "S", "S", "S", "Mn", "S", "Mn", "Mn"],
  "frac_coords": [[0.281, 0.844, 0.500], [0.719, 0.156, 0.500], [0.419, 0.776, 0.000], [0.219, 0.656, 0.000], [0.276, 0.081, 0.500], [0.156, 0.281, 0.500], [0.776, 0.581, 0.000], [0.919, 0.276, 0.500], [0.656, 0.781, 0.000], [0.081, 0.724, 0.500], [0.724, 0.919, 0.500], [0.224, 0.419, 0.000], [0.781, 0.344, 0.000], [0.581, 0.224, 0.000], [0.844, 0.719, 0.500], [0.344, 0.219, 0.000]],
  "space_group": "I4/m",
  "e_form_raw_ev_per_atom": -0.3506,
  "final_energy_ry_per_atom": -0.514
}


{
  "formula": "LaNiPt3",
  "functional": "GGA-PBE",
  "state": "relaxed",
  "cell": [[4.676, 0.000, 0.000], [0.000, 4.676, 0.000], [0.000, 0.000, 4.676]],
  "species": ["Pt", "Ni", "Pt", "La", "Pt"],
  "frac_coords": [[0.000, 0.000, 0.500], [0.000, 0.000, 0.000], [0.500, 0.000, 0.000], [0.500, 0.500, 0.500], [0.000, 0.500, 0.000]],
  "space_group": "Pm-3m",
  "ef_mev_per_atom": -228,
  "final_energy_ry_per_atom": -0.441,
  "relative_energy_mev_per_atom": 0.0
}


{
  "formula": "Tb12ZnRu6",
  "functional": "GGA-PBE",
  "state": "relaxed",
  "cell": [[-3.872, -2.635, 7.118], [-4.211, -2.966, -6.788], [8.005, -2.917, -0.125]],
  "species": ["Tb", "Tb", "Tb", "Tb", "Ru", "Tb", "Ru", "Tb", "Tb", "Ru", "Tb", "Tb", "Ru", "Tb", "Ru", "Tb", "Zn", "Ru", "Tb"],
  "frac_coords": [[0.509, 0.804, 0.705], [0.196, 0.295, 0.491], [0.196, 0.705, 0.901], [0.295, 0.491, 0.196], [0.624, 0.500, 0.124], [0.804, 0.295, 0.099], [0.124, 0.624, 0.500], [0.099, 0.804, 0.295], [0.491, 0.196, 0.295], [0.500, 0.876, 0.376], [0.705, 0.901, 0.196], [0.804, 0.705, 0.509], [0.500, 0.124, 0.624], [0.901, 0.196, 0.705], [0.376, 0.500, 0.876], [0.705, 0.509, 0.804], [0.000, 0.000, 0.000], [0.876, 0.376, 0.500], [0.295, 0.099, 0.804]],
  "space_group": "Im-3",
  "ef_mev_per_atom": -248,
  "final_energy_ry_per_atom": -0.453,
  "relative_energy_mev_per_atom": 0.0
}


{
  "formula": "NaMnPt2",
  "functional": "GGA-PBE",
  "state": "relaxed",
  "cell": [[7.309, 0.000, 0.000], [0.000, 7.309, 0.000], [3.655, 3.655, 2.705]],
  "species": ["Mn", "Pt", "Pt", "Mn", "Pt", "Na", "Pt", "Na"],
  "frac_coords": [[0.750, 0.250, 0.500], [0.875, 0.910, 0.750], [0.660, 0.125, 0.250], [0.000, 0.000, 0.000], [0.090, 0.625, 0.250], [0.250, 0.750, 0.500], [0.375, 0.340, 0.750], [0.500, 0.500, 0.000]],
  "space_group": "I-42d",
  "ef_mev_per_atom": 99,
  "final_energy_ry_per_atom": -0.407
}


{
  "formula": "MgTa4Te",
  "functional": "GGA-PBE",
  "state": "relaxed",
  "cell": [[0.785, 1.688, 5.292], [-1.200, 5.280, 1.467], [-4.418, 1.062, 3.290]],
  "species": ["Ta", "Mg", "Ta", "Ta", "Te", "Ta"],
  "frac_coords": [[0.882, 0.373, 0.373], [0.000, 0.000, 0.000], [0.373, 0.373, 0.882], [0.373, 0.373, 0.373], [0.750, 0.750, 0.750], [0.373, 0.882, 0.373]],
  "space_group": "F-43m",
  "e_form_raw_ev_per_atom": 0.4886,
  "final_energy_ry_per_atom": -0.603
}


{
  "formula": "MgOsRh",
  "functional": "GGA-PBE",
  "state": "relaxed",
  "cell": [[-3.732, 1.515, -1.265], [-3.200, 0.285, 2.739], [-1.304, 3.787, 1.336]],
  "species": ["Mg", "Rh", "Os"],
  "frac_coords": [[0.500, 0.500, 0.500], [0.000, 0.000, 0.000], [0.750, 0.750, 0.750]],
  "space_group": "F-43m",
  "ef_mev_per_atom": 551,
  "final_energy_ry_per_atom": -0.454,
  "relative_energy_mev_per_atom": 589.6
}


{
  "formula": "ZnSiRh2",
  "functional": "GGA-PBE",
  "state": "relaxed",
  "cell": [[-1.560, 3.793, 1.010], [-2.646, -0.213, -3.285], [-2.042, -1.300, 1.729]],
  "species": ["Zn", "Si", "Rh", "Rh"],
  "frac_coords": [[0.000, 0.500, 0.500], [0.500, 0.000, 0.500], [0.000, 0.000, 0.000], [0.500, 0.500, 0.000]],
  "space_group": "P4/mmm",
  "e_form_raw_ev_per_atom": -0.6152,
  "final_energy_ry_per_atom": -0.438,
  "relative_energy_mev_per_atom": 61.1
}


Copy entry 5 word for word.
{
  "formula": "MgTa4Te",
  "functional": "GGA-PBE",
  "state": "relaxed",
  "cell": [[0.785, 1.688, 5.292], [-1.200, 5.280, 1.467], [-4.418, 1.062, 3.290]],
  "species": ["Ta", "Mg", "Ta", "Ta", "Te", "Ta"],
  "frac_coords": [[0.882, 0.373, 0.373], [0.000, 0.000, 0.000], [0.373, 0.373, 0.882], [0.373, 0.373, 0.373], [0.750, 0.750, 0.750], [0.373, 0.882, 0.373]],
  "space_group": "F-43m",
  "e_form_raw_ev_per_atom": 0.4886,
  "final_energy_ry_per_atom": -0.603
}